#1
U2SnRu | GGA-PBE | relaxed Values from VASP.

Values from the calculation:
- DOS(E_F): 7.84 states/eV/f.u.
- ρ: 13.5 g/cm3

Quantum ESPRESSO input file:
```
&SYSTEM
  ibrav = 0, nat = 4, ntyp = 3
/
ATOMIC_SPECIES
Sn 118.71 Sn.upf
U 238.03 U.upf
Ru 101.07 Ru.upf
ATOMIC_POSITIONS angstrom
Sn 1.8941 1.8941 2.9852
U 0.0000 0.0000 1.2452
U 0.0000 0.0000 4.7252
Ru 1.8941 1.8941 0.0000
CELL_PARAMETERS angstrom
3.7882 0.0000 0.0000
0.0000 3.7882 0.0000
0.0000 0.0000 5.9705
```

#2
U2SnRu | GGA-PBE | relaxed Values from VASP.

Values from the calculation:
- DOS(E_F): 9.06 states/eV/f.u.
- ρ: 14.0 g/cm3

Quantum ESPRESSO input file:
```
&SYSTEM
  ibrav = 0, nat = 4, ntyp = 3
/
ATOMIC_SPECIES
Ru 101.07 Ru.upf
Sn 118.71 Sn.upf
U 238.03 U.upf
ATOMIC_POSITIONS angstrom
Ru 0.0000 0.0000 0.0000
Sn -1.3329 -2.3945 5.5139
U -1.9111 -3.6197 8.5352
U -0.7547 -1.1692 2.4926
CELL_PARAMETERS angstrom
-2.9265 -0.1223 0.9639
-1.4468 -2.7161 0.1952
1.7075 -1.9505 9.8685
```

Going by the energies, #1 is most stable and the next is 90 meV per atom up.

#1
Sn2RuW | GGA-PBE | relaxed Values from VASP.

Values from the calculation:
- DOS(E_F): 4.06 states/eV/f.u.
- ρ: 10.4 g/cm3

Quantum ESPRESSO input file:
```
&SYSTEM
  ibrav = 0, nat = 8, ntyp = 3
/
ATOMIC_SPECIES
Sn 118.71 Sn.upf
W 183.84 W.upf
Ru 101.07 Ru.upf
ATOMIC_POSITIONS angstrom
Sn 9.5723 9.4243 2.1291
W 0.0000 0.0000 0.0000
Sn 5.5954 1.9145 0.7097
Sn 2.0624 5.7434 0.7097
W 7.6578 3.8289 1.4194
Ru 3.8289 3.8289 0.0000
Ru 3.8289 7.6578 1.4194
Sn 5.7434 5.8914 2.1291
CELL_PARAMETERS angstrom
7.6578 0.0000 0.0000
0.0000 7.6578 0.0000
3.8289 3.8289 2.8388
```

#2
Sn2RuW | GGA-PBE | relaxed Values from VASP.

Values from the calculation:
- DOS(E_F): 6.37 states/eV/f.u.
- ρ: 11.8 g/cm3

Quantum ESPRESSO input file:
```
&SYSTEM
  ibrav = 0, nat = 4, ntyp = 3
/
ATOMIC_SPECIES
W 183.84 W.upf
Ru 101.07 Ru.upf
Sn 118.71 Sn.upf
ATOMIC_POSITIONS angstrom
W 3.3279 3.3279 3.3279
Ru 0.0000 0.0000 0.0000
Sn 4.9919 4.9919 4.9919
Sn 1.6640 1.6640 1.6640
CELL_PARAMETERS angstrom
0.0000 3.3279 3.3279
3.3279 0.0000 3.3279
3.3279 3.3279 0.0000
```

Going by the energies, #2 is most stable and the next is 486 meV per atom up.